(1)
4
Lattice="5.0758 0.0000 0.0000 2.5379 4.3958 0.0000 2.5379 1.4653 4.1444" Properties=species:S:1:pos:R:3 comment="CaYInIr | the Alexandria database | GGA-PBE | optimized geometry" space_group="No. 216" e_form_mev_per_atom=-413.2 pbc="T T T"
Ir 2.5379 1.4653 1.0361
Ca 5.0758 2.9305 2.0722
Y 0.0000 0.0000 0.0000
In 7.6137 4.3958 3.1083

(2)
4
Lattice="-3.9586 -1.5080 0.3605 -0.6750 -3.7895 1.8052 -2.0751 0.9347 6.1925" Properties=species:S:1:pos:R:3 comment="SrTiGe2 | the Alexandria database | GGA-PBE | optimized geometry" space_group="No. 166" e_form_mev_per_atom=-367.8 pbc="T T T"
Ge -1.6307 -1.3270 1.6108
Ge -5.0779 -3.0357 6.7473
Sr -3.3543 -2.1814 4.1791
Ti 0.0000 0.0000 0.0000

(3)
7
Lattice="-4.0003 0.6829 1.3158 -4.3536 -6.8169 -2.7825 0.3994 -5.8878 4.2694" Properties=species:S:1:pos:R:3 comment="Rb2USe2S2 | the Alexandria database | GGA-PBE | optimized geometry" space_group="No. 71" raw_formation_energy_kcal_per_mol_atoms=-27.2 pbc="T T T"
S -4.4362 -6.5801 3.7587
S -3.5183 -5.4418 -0.9560
Rb -3.3215 -8.3855 1.1690
Rb -4.6330 -3.6363 1.6337
Se -1.9030 -1.1135 1.7083
Se -6.0515 -10.9083 1.0944
U 0.0000 0.0000 0.0000

(4)
4
Lattice="4.4550 0.0047 -0.0102 3.6304 2.5821 -0.0102 0.6256 0.2001 5.0842" Properties=species:S:1:pos:R:3 comment="TcNi2Hg | the Alexandria database | GGA-PBE | optimized geometry" space_group="No. 12" e_form_mev_per_atom=345.4 pbc="T T T"
Tc 6.5332 2.0902 3.7978
Ni 0.6300 0.2015 4.8510
Ni 4.3511 1.3920 2.7651
Hg 2.1777 0.6967 1.2659

(5)
10
Lattice="-5.2101 -1.5210 -1.9128 -1.0776 -5.4872 -1.3569 -3.5687 -3.2100 3.6181" Properties=species:S:1:pos:R:3 comment="PmTl2RhO6 | the Alexandria database | GGA-PBE | optimized geometry" space_group="No. 146" raw_formation_energy_kcal_per_mol_atoms=-30.5 pbc="T T T"
Pm -7.1285 -7.5071 -0.5820
Tl -4.7163 -4.9833 -0.5035
Tl -3.4422 -3.1350 3.2143
O -6.6076 -5.4280 -1.7147
O -5.7526 -6.8564 1.1407
O -4.0935 -2.7816 -0.4363
O -3.0027 -6.4760 -0.7815
O -6.4342 -4.1918 1.4226
O -3.8819 -5.0412 2.0635
Rh -2.1492 -2.3680 -0.9192

(6)
11
Lattice="-2.4395 -1.8409 -2.4343 5.4192 -5.8647 -4.1312 0.7765 -8.5791 2.5739" Properties=species:S:1:pos:R:3 comment="Pa2Sb2S7 | the Alexandria database | GGA-PBE | optimized geometry" space_group="No. 44" raw_formation_energy_kcal_per_mol_atoms=-21.7 pbc="T T T"
S -1.3602 -4.4619 -1.5338
S 4.0931 -12.4211 -0.9800
S 0.7939 -11.1500 -1.7705
S 1.6170 -6.5670 -2.9256
S -0.3516 -9.4460 1.2244
S 1.1138 -6.2155 0.4485
S 3.3077 -9.0345 -2.7538
Pa 4.4866 -6.4099 -2.7844
Pa 1.2046 -8.5361 -1.0231
Sb 2.7987 -11.9641 -3.1640
Sb 1.1752 -4.1933 -1.1423

(7)
4
Lattice="3.3855 0.0000 0.0000 0.0000 3.3855 0.0000 0.0000 0.0000 5.7238" Properties=species:S:1:pos:R:3 comment="TaAgRu2 | the Alexandria database | GGA-PBE | optimized geometry" space_group="No. 99" de_polymorph_mev_per_atom=220 e_form_mev_per_atom=289.9 pbc="T T T"
Ru 0.0000 0.0000 0.1930
Ru 1.6927 1.6927 1.4167
Ta 0.0000 0.0000 2.6501
Ag 1.6927 1.6927 4.3260

(8)
20
Lattice="7.4941 0.0000 0.0000 3.7470 6.4901 0.0000 3.7470 2.1634 12.6179" Properties=species:S:1:pos:R:3 comment="Cs2NpTeS6 | the Alexandria database | GGA-PBE | optimized geometry" space_group="No. 166" raw_formation_energy_kcal_per_mol_atoms=-17.8 pbc="T T T"
Te 0.0000 0.0000 0.0000
Te 7.4941 4.3267 6.3089
S 5.7920 5.3094 8.0780
S 5.6269 3.2487 11.0813
S 5.7920 3.3440 4.5398
S 7.4941 6.2921 4.5398
S 9.3613 5.4047 1.5366
S 7.4941 6.4828 11.0813
S 7.4941 2.3613 8.0780
S 9.1962 5.3094 8.0780
S 5.6269 5.4047 1.5366
S 7.4941 2.1707 1.5366
S 9.1962 3.3440 4.5398
S 9.3613 3.2487 11.0813
Cs 11.2411 6.4901 4.7605
Cs 3.7470 2.1634 1.6098
Cs 11.2411 6.4901 11.0081
Cs 3.7470 2.1634 7.8574
Np 7.4941 4.3267 2.8726
Np 7.4941 4.3267 9.7453

(9)
6
Lattice="5.9732 0.0000 0.0047 0.0000 4.0933 0.0000 -2.8636 0.0000 7.8263" Properties=species:S:1:pos:R:3 comment="RbAlGe | the Alexandria database | GGA-PBE | optimized geometry" space_group="No. 6" e_form_mev_per_atom=50.7 pbc="T T T"
Al 5.2715 2.0466 1.9165
Al 3.5609 0.0000 1.8615
Ge 1.9573 2.0466 2.0139
Ge 0.7223 2.0466 7.7126
Rb -2.2249 0.0000 7.0877
Rb 0.7022 0.0000 4.5456

(10)
3
Lattice="-1.1260 -1.7875 -1.6253 2.3875 -0.5493 -1.0500 0.1158 -2.6724 5.0445" Properties=species:S:1:pos:R:3 comment="HRuPt | the Alexandria database | GGA-PBE | optimized geometry" space_group="No. 107" de_polymorph_mev_per_atom=140 pbc="T T T"
Pt 0.1636 -0.8415 0.8122
H 1.3026 -4.6250 1.9984
Ru 1.0644 -3.3996 0.8158

(11)
12
Lattice="-1.7063 0.2472 3.5237 6.1259 -3.7936 3.2324 2.4766 8.3190 0.6157" Properties=species:S:1:pos:R:3 comment="LiCeCuSe3 | the Alexandria database | GGA-PBE | optimized geometry" space_group="No. 11" raw_formation_energy_kcal_per_mol_atoms=-27.0 pbc="T T T"
Cu 1.5308 4.6046 1.5101
Cu 5.3655 0.1679 5.8617
Se 4.6163 -2.1383 5.6607
Se 2.2800 6.9108 1.7111
Se 1.4560 3.5064 3.7345
Se 1.6731 -0.0537 4.0894
Se 5.4402 1.2661 3.6373
Se 5.2231 4.8262 3.2825
Li 2.9412 5.9236 4.2842
Li 3.9550 -1.1511 3.0877
Ce 1.2869 1.3151 1.6227
Ce 5.6094 3.4574 5.7491

(12)
15
Lattice="6.5905 0.0000 2.1650 2.9396 5.8986 2.1650 -0.0378 -0.0234 11.2288" Properties=species:S:1:pos:R:3 comment="Pm6HgCl8 | the Alexandria database | GGA-PBE | optimized geometry" space_group="No. 148" raw_formation_energy_kcal_per_mol_atoms=-37.0 pbc="T T T"
Pm 4.7948 1.6861 3.8046
Pm 1.5046 2.3358 10.3285
Pm 7.9877 3.5394 5.2303
Pm 4.8324 0.3048 11.0087
Pm 4.6599 5.5704 4.5501
Pm 4.6975 4.1891 11.7542
Cl 6.4316 2.5239 10.1751
Cl 3.0183 4.6306 9.4822
Cl 3.1412 1.9442 12.6649
Cl 3.1369 0.6360 8.7090
Cl 6.4740 1.2446 6.0766
Cl 6.3511 3.9309 2.8938
Cl 3.0608 3.3513 5.3836
Cl 6.3555 5.2392 6.8498
Hg 0.0000 0.0000 0.0000

| no. | electronic total energy (eV/atom) |
| --- | --- |
| 1 | -5.4295 |
| 2 | -5.0707 |
| 3 | -5.2419 |
| 4 | -5.2122 |
| 5 | -5.9816 |
| 6 | -6.0452 |
| 7 | -8.0240 |
| 8 | -5.0268 |
| 9 | -3.0585 |
| 10 | -5.8331 |
| 11 | -4.9044 |
| 12 | -4.5099 |